(1)
Here is an optimized crystal structure of Si2GePb2 from Alexandria. Energies are from PBE.

Output
As for the calculated total energy: -21.3 eV per formula unit. The calculation puts the magnetization at 0.00 μB per formula unit.

```
Si2GePb2
1.0
3.5139 0.0000 0.0000
0.0000 3.5139 0.0000
1.7569 1.7569 9.5529
Pb Ge Si
2 1 2
Direct
0.3925 0.3925 0.2150
0.6075 0.6075 0.7850
0.0000 0.0000 0.0000
0.7500 0.2500 0.5000
0.2500 0.7500 0.5000
```



(2)
Here is an optimized crystal structure of SiGePb2 from Alexandria. Energies are from PBE.

Output
As for the calculated total energy: -15.7 eV per formula unit. The calculation puts the magnetization at 0.00 μB per formula unit.

```
SiGePb2
1.0
-3.3164 -3.0623 2.6055
-3.0175 2.0157 3.7412
-5.1337 0.4733 -0.7652
Pb Ge Si
2 1 1
Direct
0.2500 0.2500 0.2500
0.7500 0.7500 0.7500
0.5000 0.5000 0.5000
0.0000 0.0000 0.0000
```



(3)
Here is an optimized crystal structure of SiGe3Pb from Alexandria. Energies are from PBE.

Output
As for the calculated total energy: -20.6 eV per formula unit. The calculation puts the magnetization at 0.00 μB per formula unit.

```
SiGe3Pb
1.0
4.8900 0.0000 0.0000
0.0000 4.8900 0.0000
0.0000 0.0000 4.8900
Pb Ge Si
1 3 1
Direct
0.5000 0.5000 0.5000
0.0000 0.5000 0.0000
0.0000 0.0000 0.5000
0.5000 0.0000 0.0000
0.0000 0.0000 0.0000
```